First-principles (PBE) data for crystalline NdBi2 at its relaxed geometry, as listed in OQMD.

The structure in POSCAR format:
```
NdBi2
1.0
-2.3172 2.3172 17.4621
2.3172 -2.3172 17.4621
2.3172 2.3172 -17.4621
Nd Bi
4 8
direct
0.3008 0.5508 0.7500
0.4492 0.6992 0.7500
0.5508 0.3008 0.2500
0.6992 0.4492 0.2500
0.0340 0.7840 0.2500
0.1252 0.3752 0.7500
0.2160 0.9660 0.2500
0.3752 0.1252 0.2500
0.6248 0.8748 0.7500
0.7840 0.0340 0.7500
0.8748 0.6248 0.2500
0.9660 0.2160 0.7500
```

=====

First-principles (PBE) data for crystalline NdBi2 at its relaxed geometry, as listed in OQMD.

The structure in POSCAR format:
```
NdBi2
1.0
7.1190 0.0000 0.0000
0.0000 8.5357 0.0000
0.0000 0.0000 3.5566
Nd Bi
2 4
direct
0.0000 0.0000 0.0000
0.5000 0.5000 0.5000
0.1371 0.3636 0.0000
0.3629 0.8636 0.5000
0.6371 0.1364 0.5000
0.8629 0.6364 0.0000
```

=====

First-principles (PBE) data for crystalline NdBi2 at its relaxed geometry, as listed in OQMD.

The structure in POSCAR format:
```
NdBi2
1.0
7.3564 0.0000 0.0000
0.0000 7.3564 0.0000
0.0000 0.0000 7.1795
Nd Bi
4 8
direct
0.0000 0.0000 0.2500
0.0000 0.0000 0.7500
0.5000 0.5000 0.2500
0.5000 0.5000 0.7500
0.1471 0.3529 0.0000
0.1471 0.6471 0.5000
0.3529 0.1471 0.5000
0.3529 0.8529 0.0000
0.6471 0.1471 0.0000
0.6471 0.8529 0.5000
0.8529 0.3529 0.5000
0.8529 0.6471 0.0000
```

=====

First-principles (PBE) data for crystalline NdNiBi at its relaxed geometry, as listed in OQMD.

The structure in POSCAR format:
```
NdNiBi
1.0
4.6054 0.0000 0.0000
-2.3027 3.9884 0.0000
0.0000 0.0000 7.7516
Nd Ni Bi
2 2 2
direct
0.0000 0.0000 0.0000
0.0000 0.0000 0.5000
0.3333 0.6667 0.3381
0.6667 0.3333 0.8381
0.3333 0.6667 0.7403
0.6667 0.3333 0.2403
```

=====

First-principles (PBE) data for crystalline NdNiBi at its relaxed geometry, as listed in OQMD.

The structure in POSCAR format:
```
NdNiBi
1.0
7.2713 0.0000 0.0000
-3.6356 6.2971 0.0000
0.0000 0.0000 4.5664
Nd Ni Bi
3 3 3
direct
0.0000 0.5677 0.0000
0.4323 0.4323 0.0000
0.5677 0.0000 0.0000
0.0000 0.2366 0.5000
0.2366 0.0000 0.5000
0.7634 0.7634 0.5000
0.0000 0.0000 0.0000
0.3333 0.6667 0.5000
0.6667 0.3333 0.5000
```

=====

First-principles (PBE) data for crystalline NdNiBi at its relaxed geometry, as listed in OQMD.

The structure in POSCAR format:
```
NdNiBi
1.0
8.5962 0.0000 0.0000
-4.2981 7.4445 0.0000
0.0000 0.0000 3.6156
Nd Ni Bi
3 3 3
direct
0.0000 0.2937 0.0000
0.2937 0.0000 0.0000
0.7063 0.7063 0.0000
0.0000 0.6817 0.5000
0.3183 0.3183 0.5000
0.6817 0.0000 0.5000
0.0000 0.0000 0.5000
0.3333 0.6667 0.0000
0.6667 0.3333 0.0000
```

=====

First-principles (PBE) data for crystalline NdNiBi at its relaxed geometry, as listed in OQMD.

The structure in POSCAR format:
```
NdNiBi
1.0
7.5111 0.0000 0.0000
-3.7556 6.5048 0.0000
0.0000 0.0000 4.2911
Nd Ni Bi
3 3 3
direct
0.0000 0.6113 0.0000
0.3887 0.3887 0.0000
0.6113 0.0000 0.0000
0.0000 0.0000 0.0000
0.3333 0.6667 0.5000
0.6667 0.3333 0.5000
0.0000 0.2757 0.5000
0.2757 0.0000 0.5000
0.7243 0.7243 0.5000
```

=====

First-principles (PBE) data for crystalline PrNdNi2Bi2Sb2 at its relaxed geometry, as listed in OQMD.

The structure in POSCAR format:
```
PrNdNi2Bi2Sb2
1.0
4.4934 0.0000 0.0000
0.0000 4.4934 0.0000
0.0000 0.0000 9.8622
Pr Nd Ni Bi Sb
1 1 2 2 2
direct
0.0000 0.0000 0.0000
0.5000 0.5000 0.4576
0.0000 0.5000 0.2300
0.5000 0.0000 0.2300
0.0000 0.5000 0.7282
0.5000 0.0000 0.7282
0.0000 0.0000 0.3604
0.5000 0.5000 0.0992
```

=====

First-principles (PBE) data for crystalline NdNiBiSb at its relaxed geometry, as listed in OQMD.

The structure in POSCAR format:
```
NdNiBiSb
1.0
4.4891 0.0000 0.0000
0.0000 4.4891 0.0000
0.0000 0.0000 9.8343
Nd Ni Bi Sb
2 2 2 2
direct
0.0000 0.0000 0.0000
0.5000 0.5000 0.4575
0.0000 0.5000 0.2298
0.5000 0.0000 0.2298
0.0000 0.5000 0.7282
0.5000 0.0000 0.7282
0.0000 0.0000 0.3604
0.5000 0.5000 0.0989
```

energy relative to the lowest polymorph listed for this composition = 0.000 eV per atom

=====

First-principles (PBE) data for crystalline NdNiBiSb at its relaxed geometry, as listed in OQMD.

The structure in POSCAR format:
```
NdNiBiSb
1.0
4.4990 0.0000 0.0000
0.0000 4.4990 0.0000
0.0000 0.0000 9.8065
Nd Ni Bi Sb
2 2 2 2
direct
0.2500 0.2500 0.2283
0.7500 0.7500 0.7717
0.2500 0.7500 0.0000
0.7500 0.2500 0.0000
0.2500 0.7500 0.5000
0.7500 0.2500 0.5000
0.2500 0.2500 0.8690
0.7500 0.7500 0.1310
```

energy relative to the lowest polymorph listed for this composition = 0.000 eV per atom

=====

First-principles (PBE) data for crystalline NdNiBiSb at its relaxed geometry, as listed in OQMD.

The structure in POSCAR format:
```
NdNiBiSb
1.0
4.5203 0.0000 0.0000
0.0000 4.5203 0.0000
0.0000 0.0000 9.6726
Nd Ni Bi Sb
2 2 2 2
direct
0.2500 0.2500 0.2410
0.7500 0.7500 0.7590
0.2500 0.7500 0.0000
0.7500 0.2500 0.0000
0.2500 0.2500 0.8552
0.7500 0.7500 0.1448
0.2500 0.7500 0.5000
0.7500 0.2500 0.5000
```

energy relative to the lowest polymorph listed for this composition = 0.113 eV per atom

=====

First-principles (PBE) data for crystalline NdNi2SnBi at its relaxed geometry, as listed in OQMD.

The structure in POSCAR format:
```
NdNi2SnBi
1.0
4.4716 0.0000 0.0000
0.0000 4.4716 0.0000
0.0000 0.0000 10.3533
Nd Ni Sn Bi
2 4 2 2
direct
0.2500 0.2500 0.2459
0.7500 0.7500 0.7541
0.2500 0.2500 0.6209
0.2500 0.7500 0.0000
0.7500 0.2500 0.0000
0.7500 0.7500 0.3791
0.2500 0.7500 0.5000
0.7500 0.2500 0.5000
0.2500 0.2500 0.8685
0.7500 0.7500 0.1315
```

=====

Total energy for every record listed, in sequence, given in eV per cell: -58.8, -27.3, -56.6, -32.4, -46.8, -43.1, -47.8, -42.4, -42.4, -42.4, -41.5, -52.6.